DFT (GGA-PBE) results for a geometry-optimized SrErPd2 structure.

Results
E_form	-0.778	eV/atom
space group	No. 123

Unit cell a=3.5546 b=3.5546 c=7.4277 alpha=90.00 beta=90.00 gamma=90.00
Sites, in units of the cell vectors:
Pd  0.0000  0.0000  0.2071
Pd  0.0000  0.0000  0.7929
Er  0.5000  0.5000  0.0000
Sr  0.5000  0.5000  0.5000

DFT (GGA-PBE) results for a geometry-optimized GdScSn2 structure.

Results
E_form	-0.580	eV/atom
space group	No. 123

Unit cell a=3.8971 b=3.8971 c=6.6813 alpha=90.00 beta=90.00 gamma=90.00
Site moments in Bohr magnetons follow the coordinates.
Sites, in units of the cell vectors:
Sn  0.0000  0.0000  0.2254  -0.01
Sn  0.0000  0.0000  0.7746  -0.01
Gd  0.5000  0.5000  0.5000  7.21
Sc  0.5000  0.5000  0.0000  0.20

DFT (GGA-PBE) results for a geometry-optimized Ta2TcN structure.

Results
final energy	-84.81	eV per cell
space group	No. 122

Unit cell a=6.1078 b=6.1078 c=5.4706 alpha=56.07 beta=56.07 gamma=90.00
Sites, in units of the cell vectors:
Tc  0.7500  0.2500  0.5000
Tc  0.0000  0.0000  0.0000
Ta  0.5483  0.1250  0.2500
Ta  0.3750  0.4517  0.7500
Ta  0.8750  0.7983  0.7500
Ta  0.2017  0.6250  0.2500
N  0.2500  0.7500  0.5000
N  0.5000  0.5000  0.0000

DFT (GGA-PBE) results for a geometry-optimized K2SiNi structure.

Results
final energy	-12.99	eV per cell
space group	No. 38

Unit cell a=4.3294 b=5.7984 c=5.8046 alpha=60.01 beta=90.00 gamma=90.00
Sites, in units of the cell vectors:
K  0.5000  0.2919  0.2913
K  0.0000  0.9588  0.9576
Ni  0.0000  0.6247  0.6255
Si  0.5000  0.6246  0.6256

DFT (GGA-PBE) results for a geometry-optimized Rb2TlP structure.

Results
E_form	0.331	eV/atom
space group	No. 122

Unit cell a=5.2437 b=5.2437 c=12.0885 alpha=77.47 beta=77.47 gamma=90.00
Sites, in units of the cell vectors:
P  0.2500  0.7500  0.5000
P  0.5000  0.5000  0.0000
Tl  0.7500  0.2500  0.5000
Tl  0.0000  0.0000  0.0000
Rb  0.1472  0.6250  0.2500
Rb  0.6028  0.1250  0.2500
Rb  0.3750  0.3972  0.7500
Rb  0.8750  0.8528  0.7500

DFT (GGA-PBE) results for a geometry-optimized TeIrPt2 structure.

Results
final energy	-22.89	eV per cell
space group	No. 12

Unit cell a=4.9945 b=4.9945 c=4.8364 alpha=79.79 beta=79.79 gamma=35.74
Sites, in units of the cell vectors:
Te  0.7500  0.7500  0.7500
Pt  0.5075  0.5075  0.4893
Pt  0.9925  0.9925  0.0107
Ir  0.2500  0.2500  0.2500

DFT (GGA-PBE) results for a geometry-optimized CdAsCl2 structure.

Results
final energy	-9.26	eV per cell
space group	No. 119

Unit cell a=6.9259 b=6.9259 c=6.9259 alpha=147.51 beta=147.51 gamma=46.62
Sites, in units of the cell vectors:
Cl  0.2500  0.7500  0.5000
Cl  0.0000  0.0000  0.0000
Cd  0.7500  0.2500  0.5000
As  0.5000  0.5000  0.0000

DFT (GGA-PBE) results for a geometry-optimized La4BeRh structure.

Results
E_form	0.785	eV/atom
space group	No. 216

Unit cell a=6.2221 b=6.2221 c=6.2221 alpha=60.00 beta=60.00 gamma=60.00
Sites, in units of the cell vectors:
Rh  0.7500  0.7500  0.7500
La  0.3758  0.8727  0.3758
La  0.3758  0.3758  0.8727
La  0.8727  0.3758  0.3758
La  0.3758  0.3758  0.3758
Be  0.0000  0.0000  0.0000

DFT (GGA-PBE) results for a geometry-optimized Tl2CuICl2 structure.

Results
final energy	-36.09	eV per cell
space group	No. 36

Unit cell a=7.5305 b=9.0184 c=8.1036 alpha=123.81 beta=90.00 gamma=90.00
Sites, in units of the cell vectors:
Tl  0.1791  0.8186  0.3317
Tl  0.6791  0.1814  0.6683
Tl  0.1791  0.4869  0.6683
Tl  0.6791  0.5131  0.3317
Cu  0.7038  0.8381  0.0000
Cu  0.2038  0.1619  0.0000
Cl  0.2749  0.1675  0.7216
Cl  0.2749  0.4458  0.2784
Cl  0.7749  0.8325  0.2784
Cl  0.7749  0.5542  0.7216
I  0.8614  0.0994  0.0000
I  0.3614  0.9006  0.0000

DFT (GGA-PBE) results for a geometry-optimized ThUP2Ir5 structure.

Results
E_form	-0.568	eV/atom
space group	No. 123

Unit cell a=4.0598 b=4.0598 c=11.0047 alpha=90.00 beta=90.00 gamma=90.00
Site moments in Bohr magnetons follow the coordinates.
Sites, in units of the cell vectors:
Ir  0.0000  0.5000  0.8018  -0.01
Ir  0.5000  0.5000  0.5000  -0.10
Ir  0.5000  0.0000  0.1982  -0.01
Ir  0.5000  0.0000  0.8018  -0.01
Ir  0.0000  0.5000  0.1982  -0.01
Th  0.0000  0.0000  0.0000  0.00
P  0.5000  0.5000  0.7081  -0.01
P  0.5000  0.5000  0.2919  -0.01
U  0.0000  0.0000  0.5000  2.43

DFT (GGA-PBE) results for a geometry-optimized Sr2MgMoN4 structure.

Results
final energy	-111.75	eV per cell
space group	No. 31

Unit cell a=5.9657 b=6.1776 c=7.1648 alpha=90.00 beta=90.00 gamma=90.00
Sites, in units of the cell vectors:
N  0.4875  0.6422  0.2726
N  0.2605  0.9938  0.5000
N  0.9875  0.3578  0.7726
N  0.7605  0.0062  0.0000
N  0.9875  0.3578  0.2274
N  0.2521  0.0222  0.0000
N  0.7521  0.9778  0.5000
N  0.4875  0.6422  0.7274
Sr  0.0064  0.7643  0.2521
Sr  0.0064  0.7643  0.7479
Sr  0.5064  0.2357  0.2479
Sr  0.5064  0.2357  0.7521
Mo  0.9992  0.2030  0.0000
Mo  0.4992  0.7970  0.5000
Mg  0.5004  0.7845  0.0000
Mg  0.0004  0.2155  0.5000

DFT (GGA-PBE) results for a geometry-optimized Sr4TeAsCl2 structure.

Results
final energy	-31.57	eV per cell
space group	No. 10

Unit cell a=4.5779 b=7.6155 c=8.0142 alpha=69.67 beta=90.00 gamma=90.00
Sites, in units of the cell vectors:
Te  0.5000  0.5000  0.0000
Cl  0.0000  0.0000  0.0000
Cl  0.5000  0.0000  0.5000
Sr  0.0000  0.7435  0.7334
Sr  0.0000  0.2565  0.2666
Sr  0.5000  0.7351  0.2705
Sr  0.5000  0.2649  0.7295
As  0.0000  0.5000  0.5000

DFT (GGA-PBE) results for a geometry-optimized Ho3TmSc2Te6 structure.

Results
final energy	-63.91	eV per cell
space group	No. 12

Unit cell a=4.2664 b=8.5791 c=9.5630 alpha=103.10 beta=102.89 gamma=90.00
Sites, in units of the cell vectors:
Te  0.9952  0.7498  0.9904
Te  0.3305  0.4244  0.6610
Te  0.6695  0.5756  0.3390
Te  0.6676  0.0912  0.3351
Te  0.0048  0.2502  0.0096
Te  0.3324  0.9088  0.6649
Tm  0.5000  0.0000  0.0000
Ho  0.1635  0.8292  0.3270
Ho  0.8365  0.1708  0.6730
Ho  0.5000  0.5000  0.0000
Sc  0.8326  0.6652  0.6653
Sc  0.1674  0.3348  0.3347

DFT (GGA-PBE) results for a geometry-optimized KSnHF2 structure.

Results
final energy	-19.86	eV per cell
space group	No. 123

Unit cell a=4.7570 b=4.2910 c=4.7570 alpha=90.00 beta=90.00 gamma=90.00
Sites, in units of the cell vectors:
F  0.5000  0.0000  0.0000
F  0.0000  0.0000  0.5000
K  0.5000  0.5000  0.5000
H  0.0000  0.5000  0.0000
Sn  0.0000  0.0000  0.0000

DFT (GGA-PBE) results for a geometry-optimized BaHN2 structure.

Results
final energy	-19.20	eV per cell
space group	No. 166

Unit cell a=5.4033 b=5.4033 c=5.4033 alpha=48.29 beta=48.29 gamma=48.29
Site moments in Bohr magnetons follow the coordinates.
Sites, in units of the cell vectors:
N  0.0849  0.0849  0.0849  1.00
N  0.9151  0.9151  0.9151  1.00
H  0.0000  0.0000  0.0000  0.01
Ba  0.5000  0.5000  0.5000  0.07

DFT (GGA-PBE) results for a geometry-optimized Ca4AcCd5 structure.

Results
E_form	-0.342	eV/atom
space group	No. 123

Unit cell a=3.9054 b=3.9054 c=19.3369 alpha=90.00 beta=90.00 gamma=90.00
Sites, in units of the cell vectors:
Cd  0.5000  0.5000  0.1126
Cd  0.5000  0.5000  0.3052
Cd  0.5000  0.5000  0.6948
Cd  0.5000  0.5000  0.8874
Cd  0.5000  0.5000  0.5000
Ca  0.0000  0.0000  0.7917
Ca  0.0000  0.0000  0.5976
Ca  0.0000  0.0000  0.4024
Ca  0.0000  0.0000  0.2083
Ac  0.0000  0.0000  0.0000

DFT (GGA-PBE) results for a geometry-optimized PmSbS3 structure.

Results
final energy	-107.23	eV per cell
space group	No. 14

Unit cell a=7.0488 b=7.8641 c=10.4764 alpha=91.94 beta=90.00 gamma=90.00
Sites, in units of the cell vectors:
Sb  0.8083  0.1337  0.8852
Sb  0.3083  0.8663  0.6148
Sb  0.6917  0.1337  0.3852
Sb  0.1917  0.8663  0.1148
Pm  0.2784  0.4811  0.3635
Pm  0.7784  0.5189  0.1365
Pm  0.2216  0.4811  0.8635
Pm  0.7216  0.5189  0.6365
S  0.1144  0.6019  0.6182
S  0.9969  0.2398  0.7086
S  0.9694  0.7351  0.9540
S  0.4694  0.2649  0.5460
S  0.0031  0.7602  0.2914
S  0.8856  0.3981  0.3818
S  0.6144  0.3981  0.8818
S  0.0306  0.2649  0.0460
S  0.4969  0.7602  0.7914
S  0.3856  0.6019  0.1182
S  0.5306  0.7351  0.4540
S  0.5031  0.2398  0.2086

DFT (GGA-PBE) results for a geometry-optimized Ho3ErRh3 structure.

Results
E_form	-0.753	eV/atom
space group	No. 65

Unit cell a=6.8857 b=6.8856 c=6.6622 alpha=89.99 beta=89.99 gamma=89.67
Sites, in units of the cell vectors:
Rh  0.0000  0.5000  0.7508
Rh  0.5000  0.0000  0.7508
Rh  0.5000  0.0000  0.2492
Rh  0.0000  0.0000  0.2498
Rh  0.0000  0.5000  0.2492
Rh  0.0000  0.0000  0.7502
Er  0.2421  0.2421  0.9998
Er  0.7579  0.7579  0.0002
Ho  0.2453  0.7547  0.5000
Ho  0.2487  0.7513  0.0000
Ho  0.7547  0.2453  0.5000
Ho  0.7513  0.2487  0.0000
Ho  0.7540  0.7540  0.5002
Ho  0.2460  0.2460  0.4998

DFT (GGA-PBE) results for a geometry-optimized PBrO structure.

Results
final energy	-30.11	eV per cell
space group	No. 4

Unit cell a=5.2290 b=4.4678 c=7.6709 alpha=90.00 beta=94.39 gamma=90.00
Sites, in units of the cell vectors:
O  0.9245  0.9973  0.5590
O  0.0755  0.4973  0.4410
Br  0.2324  0.3546  0.8240
Br  0.7676  0.8546  0.1760
P  0.1930  0.2001  0.5424
P  0.8070  0.7001  0.4576

DFT (GGA-PBE) results for a geometry-optimized Pr2ScZn structure.

Results
E_form	-0.012	eV/atom
space group	No. 225

Unit cell a=5.3765 b=5.3765 c=5.3765 alpha=60.00 beta=60.00 gamma=60.00
Sites, in units of the cell vectors:
Pr  0.2500  0.2500  0.2500
Pr  0.7500  0.7500  0.7500
Zn  0.5000  0.5000  0.5000
Sc  0.0000  0.0000  0.0000